{
  "formula": "PaNiTeO6",
  "functional": "PBE with a Hubbard U",
  "state": "optimized geometry",
  "e_tot_ev_per_fu": -60.89,
  "m_tot_mub_per_fu": 1.1,
  "dos_at_fermi_per_ev_atom": 0.355,
  "lattice": [[5.584, 0.000, 0.000], [-2.792, 4.836, 0.000], [0.000, 0.000, 8.868]],
  "species": ["Pa", "Pa", "Ni", "Ni", "Te", "Te", "O", "O", "O", "O", "O", "O", "O", "O", "O", "O", "O", "O"],
  "fractional_positions": [[0.333, 0.667, 0.250], [0.667, 0.333, 0.750], [0.000, 0.000, 0.000], [0.000, 0.000, 0.500], [0.333, 0.667, 0.750], [0.667, 0.333, 0.250], [0.016, 0.345, 0.628], [0.016, 0.671, 0.872], [0.329, 0.345, 0.872], [0.329, 0.984, 0.628], [0.345, 0.016, 0.128], [0.345, 0.329, 0.372], [0.655, 0.671, 0.628], [0.655, 0.984, 0.872], [0.671, 0.016, 0.372], [0.671, 0.655, 0.128], [0.984, 0.329, 0.128], [0.984, 0.655, 0.372]]
}